Here is a relaxed AlSiP2O crystal from the Alexandria database. Energies are from PBE.

Calculated values
E_tot: -0.19270 hartree per atom
volume: 14.94 Å³/atom
ΔE_f (raw): -5.9 kcal/mol of atoms
M_tot: 0.0 μB per cell

Lattice parameters (Å, degrees): 4.782 4.782 3.266 90.00 90.00 90.00
Sites, in units of the cell vectors:
P 0.000 0.500 0.000
P 0.500 0.000 0.000
Si 0.000 0.000 0.000
O 0.000 0.000 0.500
Al 0.500 0.500 0.500